## Ba2CuHg2 (meta-GGA SCAN)

Data for Ba2CuHg2 at its PBEsol-relaxed geometry.

Cell: 6.548 6.548 7.909 Å, 90.00 90.00 90.00°
Space group I4/mmm (No. 139)
Symmetry-distinct sites (fractional):
Ba1 0.000 0.500 0.250 x4
Cu1 0.000 0.000 0.000 x2
Hg1 0.000 0.000 0.328 x4

energy = -46.311 eV/atom
D(E_F) = 5.76 states/eV/f.u.
total magnetic moment = 0.02 Bohr magnetons per cell
energy of formation = -0.92 eV per formula unit